<w>
Entry from the Alexandria database: a PBEsol-optimized structure of Li2Ca (meta-GGA SCAN).

The density of states at the Fermi level is 7.66 states/eV/cell.

The structure belongs to space group I4_1/amd (No. 141, origin choice 2); the cell edges are 4.3887, 4.3887 and 17.6145 Å and the angles 90.00°, 90.00° and 90.00°. The inequivalent atoms are Li at (0.0000, 0.2500, 0.2942) and Ca at (0.0000, 0.2500, 0.8750).



<x>
Entry from the Alexandria database: a PBEsol-optimized structure of Li2Ca (meta-GGA SCAN).

The density of states at the Fermi level is 3.88 states/eV/cell.

The structure belongs to space group P6_3/mmc (No. 194); the cell edges are 5.4595, 5.4595 and 6.4366 Å and the angles 90.00°, 90.00° and 120.00°. The inequivalent atoms are Li at (0.0000, 0.0000, 0.0000), Li at (0.3333, 0.6667, 0.2500) and Ca at (0.3333, 0.6667, 0.7500).



Most stable structure: <x>



<w>
Entry from the Alexandria database: a PBEsol-optimized structure of LiCu2Pt (meta-GGA SCAN).

The density of states at the Fermi level is 2.08 states/eV/cell.

The structure belongs to space group Imm2 (No. 44); the cell edges are 2.8801, 4.1819 and 8.2303 Å and the angles 90.00°, 90.00° and 90.00°. The inequivalent atoms are Li at (0.0000, 0.0000, 0.0000), Cu at (0.0000, 0.0000, 0.4831), Cu at (0.0000, 0.5000, 0.7452) and Pt at (0.0000, 0.5000, 0.2413).



<x>
Entry from the Alexandria database: a PBEsol-optimized structure of LiCu2Pt (meta-GGA SCAN).

The density of states at the Fermi level is 2.71 states/eV/cell.

The structure belongs to space group I-4m2 (No. 119); the cell edges are 3.6851, 3.6851 and 7.2368 Å and the angles 90.00°, 90.00° and 90.00°. The inequivalent atoms are Li at (0.0000, 0.0000, 0.0000), Cu at (0.0000, 0.0000, 0.5000), Cu at (0.0000, 0.5000, 0.7500) and Pt at (0.0000, 0.5000, 0.2500).



Most stable structure: <x>



<w>
Entry from the Alexandria database: a PBEsol-optimized structure of Al2SiBr (meta-GGA SCAN).

The density of states at the Fermi level is 4.97 states/eV/cell.

The structure belongs to space group Cmmm (No. 65); the cell edges are 5.2482, 8.2866 and 3.8790 Å and the angles 90.00°, 90.00° and 90.00°. The inequivalent atoms are Al at (0.0000, 0.2036, 0.0000), Si at (0.0000, 0.0000, 0.5000) and Br at (0.0000, 0.5000, 0.5000).



<x>
Entry from the Alexandria database: a PBEsol-optimized structure of Al2SiBr (meta-GGA SCAN).

The density of states at the Fermi level is 1.64 states/eV/cell.

The structure belongs to space group P4/mmm (No. 123); the cell edges are 4.9308, 4.9308 and 3.0002 Å and the angles 90.00°, 90.00° and 90.00°. The inequivalent atoms are Al at (0.0000, 0.5000, 0.0000), Si at (0.0000, 0.0000, 0.5000) and Br at (0.5000, 0.5000, 0.5000).



Most stable structure: <w>



<w>
Entry from the Alexandria database: a PBEsol-optimized structure of Ca2Mg2Cu (meta-GGA SCAN).

The density of states at the Fermi level is 7.99 states/eV/cell.

The structure belongs to space group R-3m (No. 166, hexagonal axes); the cell edges are 5.1997, 5.1997 and 15.9866 Å and the angles 90.00°, 90.00° and 120.00°. The inequivalent atoms are Ca at (0.0000, 0.0000, 0.1131), Mg at (0.0000, 0.0000, 0.3355) and Cu at (0.0000, 0.0000, 0.5000).



<x>
Entry from the Alexandria database: a PBEsol-optimized structure of Ca2Mg2Cu (meta-GGA SCAN).

The density of states at the Fermi level is 5.67 states/eV/cell.

The structure belongs to space group Immm (No. 71); the cell edges are 3.4831, 7.1983 and 10.3147 Å and the angles 90.00°, 90.00° and 90.00°. The inequivalent atoms are Ca at (0.0000, 0.0000, 0.2469), Mg at (0.0000, 0.2862, 0.0000) and Cu at (0.0000, 0.5000, 0.5000).



Most stable structure: <w>